Record 1
Be2PAu | GGA-PBEsol | relaxed

Unit cell a=3.468 b=3.706 c=4.718 alpha=90.00 beta=111.42 gamma=90.00
Space group Pm (No. 6)
One atom of each set of equivalent atoms:
Be 0.000 0.000 0.000 [1 per cell]
Be 0.485 0.500 0.969 [1 per cell]
P 0.360 0.000 0.718 [1 per cell]
Au 0.167 0.500 0.334 [1 per cell]

Summary:
Formation enthalpy at 0 K ... -0.14 eV per atom

=====

Record 2
SrBN3 | GGA-PBEsol | relaxed

Unit cell a=4.816 b=4.816 c=4.816 alpha=90.00 beta=90.00 gamma=90.00
Space group Pm-3m (No. 221)
One atom of each set of equivalent atoms:
Sr 0.000 0.000 0.000 [1 per cell]
B 0.500 0.500 0.500 [1 per cell]
N 0.000 0.000 0.500 [3 per cell]

Summary:
ΔE_f (raw) ... 3.0937 eV/atom